Here is an optimized crystal structure of Sm3ErH8 from Alexandria via LeMat-Bulk. Energies are from PBE.

Summary:
calculated volume = 12.4 Å³ per atom
M_tot = 0.0 μB per formula unit
energy = -4.4838 eV/atom

a b c (Å): 5.2983 5.2983 5.2983
angles (deg): 90.00 90.00 90.00
Space group Pm-3m (No. 221)
Symmetry-distinct sites (fractional):
Sm: 0.0000 0.0000 0.5000 [3 per cell]
Er: 0.5000 0.5000 0.5000 [1 per cell]
H: 0.2571 0.2571 0.2571 [8 per cell]